Run P
## K2MoAu (GGA-PBEsol)

Data for an optimized crystal structure of K2MoAu.

Lattice parameters (Å, degrees): 2.837 4.656 10.223 103.13 97.98 90.00
Atoms (fractional coordinates):
Mo 0.000 0.500 0.000
K 0.146 0.146 0.292
K 0.854 0.854 0.708
Au 0.500 0.000 0.000

=====

Run Q
## K2MoAu (GGA-PBEsol)

Data for an optimized crystal structure of K2MoAu.

Lattice parameters (Å, degrees): 2.935 2.935 11.708 82.80 82.80 60.00
Atoms (fractional coordinates):
Au 0.000 0.000 0.000
K 0.748 0.748 0.756
K 0.252 0.252 0.244
Mo 0.500 0.500 0.500

=====

How do the structures above rank in stability at the extremes? run P comes first and run Q comes last.